(1)
DFT (PBE) results for an optimized crystal structure of Na2LiCa6.

abc: 10.998 11.005 5.699
angles: 90.00 90.00 90.00
Atoms (fractional coordinates):
Na1 0.197 0.199 0.000
Na2 0.303 0.699 0.500
Na3 0.697 0.301 0.500
Na4 0.803 0.801 0.000
Li1 0.000 0.000 0.500
Li2 0.500 0.500 0.000
Ca1 0.025 0.322 0.500
Ca2 0.127 0.874 0.000
Ca3 0.178 0.527 0.000
Ca4 0.322 0.027 0.500
Ca5 0.373 0.374 0.500
Ca6 0.475 0.822 0.000
Ca7 0.525 0.178 0.000
Ca8 0.627 0.626 0.500
Ca9 0.678 0.973 0.500
Ca10 0.822 0.473 0.000
Ca11 0.873 0.126 0.000
Ca12 0.975 0.678 0.500

## Properties
Total energy (eV per atom): -1.784
Crystal system: orthorhombic
Total magnetization (μB per atom): 0.00



(2)
DFT (PBE) results for an optimized crystal structure of ScPaNiN3.

abc: 6.779 3.254 7.050
angles: 90.00 100.71 90.00
Atoms (fractional coordinates):
Sc1 0.152 0.250 0.159
Sc2 0.848 0.750 0.841
Pa1 0.327 0.750 0.792
Pa2 0.673 0.250 0.208
Ni1 0.382 0.750 0.406
Ni2 0.618 0.250 0.594
N1 0.090 0.250 0.847
N2 0.315 0.250 0.527
N3 0.386 0.750 0.124
N4 0.614 0.250 0.876
N5 0.685 0.750 0.473
N6 0.910 0.750 0.153

## Properties
Total energy (eV per atom): -8.917
Crystal system: monoclinic
Formation energy without anion corrections (meV per atom): -1153
Total magnetization (μB per atom): 0.00



(3)
DFT (PBE) results for an optimized crystal structure of RbGd2Fe.

abc: 11.307 11.307 11.307
angles: 20.12 20.12 20.12
Atoms (fractional coordinates):
Rb1 0.000 0.000 0.000
Gd1 0.123 0.123 0.123
Gd2 0.877 0.877 0.877
Fe1 0.500 0.500 0.500

## Properties
Total energy (eV per atom): -9.108
Crystal system: trigonal
Total magnetization (μB per atom): 3.49



Question: The highest total energy belongs to which entry?
Answer: Na2LiCa6



Question: What is the total magnetization in the second record?
Answer: 0.00 μB per atom



Question: Which value of total energy does entry 1 give?
Answer: -1.784 eV per atom